Entry 1:
! CrTc2Sb, relaxed, DFT GGA-PBE; values from VASP
&SYSTEM
  ibrav = 0, nat = 4, ntyp = 3
/
ATOMIC_SPECIES
Cr 52.00 Cr.upf
Tc 98.00 Tc.upf
Sb 121.76 Sb.upf
CELL_PARAMETERS angstrom
-0.214 4.794 -1.250
0.033 3.126 -3.849
-4.271 1.029 -1.067
ATOMIC_POSITIONS crystal
Cr 0.494 0.494 0.567
Tc 0.760 0.760 0.686
Tc 0.001 0.001 0.033
Sb 0.245 0.245 0.213
! Electronic total energy in eV for the cell shown: -33.7
! M_tot in μB per atom: 0.359

---

Entry 2:
! CrTc4Sb, relaxed, DFT GGA-PBE; values from VASP
&SYSTEM
  ibrav = 0, nat = 6, ntyp = 3
/
ATOMIC_SPECIES
Tc 98.00 Tc.upf
Cr 52.00 Cr.upf
Sb 121.76 Sb.upf
CELL_PARAMETERS angstrom
0.000 3.660 3.660
3.660 0.000 3.660
3.660 3.660 0.000
ATOMIC_POSITIONS crystal
Tc 0.874 0.375 0.375
Tc 0.375 0.874 0.375
Tc 0.375 0.375 0.375
Tc 0.375 0.375 0.874
Cr 0.750 0.750 0.750
Sb 0.000 0.000 0.000
! Electronic total energy in eV for the cell shown: -52.3
! M_tot in μB per atom: 0.360

---

Entry 3:
! Cr3TcSb, relaxed, DFT GGA-PBE; values from VASP
&SYSTEM
  ibrav = 0, nat = 5, ntyp = 3
/
ATOMIC_SPECIES
Tc 98.00 Tc.upf
Cr 52.00 Cr.upf
Sb 121.76 Sb.upf
CELL_PARAMETERS angstrom
4.558 0.000 0.000
0.000 4.558 0.000
0.000 0.000 4.558
ATOMIC_POSITIONS crystal
Tc 0.500 0.500 0.500
Cr 0.000 0.000 0.500
Cr 0.500 0.000 0.000
Cr 0.000 0.500 0.000
Sb 0.000 0.000 0.000
! Electronic total energy in eV for the cell shown: -32.0
! Excess energy over the best structure of this formula in the dataset in kcal/mol of atoms: 27.164
! M_tot in μB per atom: 0.000

---

Entry 4:
! CrTc2Sb, relaxed, DFT GGA-PBE; values from VASP
&SYSTEM
  ibrav = 0, nat = 4, ntyp = 3
/
ATOMIC_SPECIES
Sb 121.76 Sb.upf
Tc 98.00 Tc.upf
Cr 52.00 Cr.upf
CELL_PARAMETERS angstrom
-1.506 -2.426 -1.253
1.963 0.032 -2.422
3.844 -3.968 3.062
ATOMIC_POSITIONS crystal
Sb 0.500 0.500 0.750
Tc 0.000 0.000 0.486
Tc 0.000 0.000 0.014
Cr 0.500 0.500 0.250
! Electronic total energy in eV for the cell shown: -33.7
! M_tot in μB per atom: 0.278

---

Entry 5:
! Cr3TcSb, relaxed, DFT GGA-PBE; values from VASP
&SYSTEM
  ibrav = 0, nat = 5, ntyp = 3
/
ATOMIC_SPECIES
Cr 52.00 Cr.upf
Sb 121.76 Sb.upf
Tc 98.00 Tc.upf
CELL_PARAMETERS angstrom
4.693 0.000 0.000
0.000 4.693 0.000
0.000 0.000 4.693
ATOMIC_POSITIONS crystal
Cr 0.000 0.000 0.500
Cr 0.500 0.000 0.000
Cr 0.000 0.500 0.000
Sb 0.500 0.500 0.500
Tc 0.000 0.000 0.000
! Electronic total energy in eV for the cell shown: -37.9
! Excess energy over the best structure of this formula in the dataset in kcal/mol of atoms: 0.000
! M_tot in μB per atom: 1.810

---

Entry 6:
! CrTcSb, relaxed, DFT GGA-PBE; values from VASP
&SYSTEM
  ibrav = 0, nat = 3, ntyp = 3
/
ATOMIC_SPECIES
Cr 52.00 Cr.upf
Sb 121.76 Sb.upf
Tc 98.00 Tc.upf
CELL_PARAMETERS angstrom
-0.368 4.287 -0.159
-3.052 -2.353 1.919
1.451 0.221 2.578
ATOMIC_POSITIONS crystal
Cr 0.000 0.000 0.067
Sb 0.333 0.667 0.245
Tc 0.667 0.333 0.688
! Electronic total energy in eV for the cell shown: -22.8
! Excess energy over the best structure of this formula in the dataset in kcal/mol of atoms: 5.509
! M_tot in μB per atom: 0.006

---

Entry 7:
! CrTc2Sb2, relaxed, DFT GGA-PBE; values from VASP
&SYSTEM
  ibrav = 0, nat = 10, ntyp = 3
/
ATOMIC_SPECIES
Sb 121.76 Sb.upf
Cr 52.00 Cr.upf
Tc 98.00 Tc.upf
CELL_PARAMETERS angstrom
-5.950 -0.742 -2.841
-2.822 -0.331 5.996
-0.494 4.009 -0.011
ATOMIC_POSITIONS crystal
Sb 0.172 0.672 0.500
Sb 0.672 0.828 0.500
Sb 0.828 0.328 0.500
Sb 0.328 0.172 0.500
Cr 0.500 0.500 0.000
Cr 0.000 0.000 0.000
Tc 0.863 0.637 0.000
Tc 0.137 0.363 0.000
Tc 0.637 0.137 0.000
Tc 0.363 0.863 0.000
! Electronic total energy in eV for the cell shown: -72.2
! M_tot in μB per atom: 0.000

---

Entry 8:
! CrTcSb3, relaxed, DFT GGA-PBE; values from VASP
&SYSTEM
  ibrav = 0, nat = 5, ntyp = 3
/
ATOMIC_SPECIES
Sb 121.76 Sb.upf
Tc 98.00 Tc.upf
Cr 52.00 Cr.upf
CELL_PARAMETERS angstrom
-2.416 4.517 0.222
-0.548 -0.042 -5.098
-4.489 -2.425 0.502
ATOMIC_POSITIONS crystal
Sb 0.500 0.000 0.000
Sb 0.000 0.500 0.000
Sb 0.000 0.000 0.500
Tc 0.000 0.000 0.000
Cr 0.500 0.500 0.500
! Electronic total energy in eV for the cell shown: -25.8
! Excess energy over the best structure of this formula in the dataset in kcal/mol of atoms: 5.723
! M_tot in μB per atom: 0.021

---

Entry 9:
! CrTcSb, relaxed, DFT GGA-PBE; values from VASP
&SYSTEM
  ibrav = 0, nat = 3, ntyp = 3
/
ATOMIC_SPECIES
Sb 121.76 Sb.upf
Tc 98.00 Tc.upf
Cr 52.00 Cr.upf
CELL_PARAMETERS angstrom
-3.104 4.492 -1.756
-4.487 2.082 -2.902
-2.191 0.289 2.038
ATOMIC_POSITIONS crystal
Sb 0.339 0.339 0.661
Tc 0.646 0.646 0.354
Cr 0.016 0.016 0.984
! Electronic total energy in eV for the cell shown: -23.1
! Excess energy over the best structure of this formula in the dataset in kcal/mol of atoms: 3.309
! M_tot in μB per atom: 0.000

---

Entry 10:
! CrTcSb, relaxed, DFT GGA-PBE; values from VASP
&SYSTEM
  ibrav = 0, nat = 3, ntyp = 3
/
ATOMIC_SPECIES
Cr 52.00 Cr.upf
Tc 98.00 Tc.upf
Sb 121.76 Sb.upf
CELL_PARAMETERS angstrom
4.803 0.063 -0.046
2.248 4.245 0.046
-3.233 -2.634 2.385
ATOMIC_POSITIONS crystal
Cr 0.006 0.006 0.000
Tc 0.661 0.661 0.000
Sb 0.333 0.333 0.000
! Electronic total energy in eV for the cell shown: -23.1
! Excess energy over the best structure of this formula in the dataset in kcal/mol of atoms: 2.798
! M_tot in μB per atom: 0.613

---

Entry 11:
! CrTc2SbTe, relaxed, DFT GGA-PBE; values from VASP
&SYSTEM
  ibrav = 0, nat = 5, ntyp = 4
/
ATOMIC_SPECIES
Tc 98.00 Tc.upf
Te 127.60 Te.upf
Sb 121.76 Sb.upf
Cr 52.00 Cr.upf
CELL_PARAMETERS angstrom
-3.212 2.240 2.424
0.221 -3.391 3.427
3.294 2.391 2.155
ATOMIC_POSITIONS crystal
Tc 0.500 0.000 0.000
Tc 0.000 0.000 0.500
Te 0.000 0.500 0.000
Sb 0.500 0.500 0.500
Cr 0.000 0.000 0.000
! Electronic total energy in eV for the cell shown: -32.0
! M_tot in μB per atom: 0.210

---

Entry 12:
! CrTcSb2Te, relaxed, DFT GGA-PBE; values from VASP
&SYSTEM
  ibrav = 0, nat = 5, ntyp = 4
/
ATOMIC_SPECIES
Sb 121.76 Sb.upf
Cr 52.00 Cr.upf
Tc 98.00 Tc.upf
Te 127.60 Te.upf
CELL_PARAMETERS angstrom
5.024 0.000 0.000
0.000 5.024 0.000
0.000 0.000 5.733
ATOMIC_POSITIONS crystal
Sb 0.500 0.000 0.000
Sb 0.000 0.500 0.000
Cr 0.500 0.500 0.500
Tc 0.000 0.000 0.000
Te 0.000 0.000 0.500
! Electronic total energy in eV for the cell shown: -27.4
! Excess energy over the best structure of this formula in the dataset in kcal/mol of atoms: 0.000
! M_tot in μB per atom: 0.778

---

Entry 13:
! CrTcSbTe2, relaxed, DFT GGA-PBE; values from VASP
&SYSTEM
  ibrav = 0, nat = 5, ntyp = 4
/
ATOMIC_SPECIES
Cr 52.00 Cr.upf
Te 127.60 Te.upf
Sb 121.76 Sb.upf
Tc 98.00 Tc.upf
CELL_PARAMETERS angstrom
-1.733 4.176 -2.791
0.774 -2.695 -4.513
-4.728 -1.790 0.258
ATOMIC_POSITIONS crystal
Cr 0.500 0.500 0.500
Te 0.000 0.500 0.000
Te 0.500 0.000 0.000
Sb 0.000 0.000 0.500
Tc 0.000 0.000 0.000
! Electronic total energy in eV for the cell shown: -26.3
! Excess energy over the best structure of this formula in the dataset in kcal/mol of atoms: 0.000
! M_tot in μB per atom: 0.770

---

Entry 14:
! CrTcSbTe2, relaxed, DFT GGA-PBE; values from VASP
&SYSTEM
  ibrav = 0, nat = 5, ntyp = 4
/
ATOMIC_SPECIES
Sb 121.76 Sb.upf
Te 127.60 Te.upf
Tc 98.00 Tc.upf
Cr 52.00 Cr.upf
CELL_PARAMETERS angstrom
-4.509 3.132 -2.068
-2.431 -4.239 -1.121
-2.448 -0.005 5.331
ATOMIC_POSITIONS crystal
Sb 0.000 0.000 0.000
Te 0.500 0.000 0.000
Te 0.000 0.000 0.500
Tc 0.500 0.500 0.500
Cr 0.000 0.500 0.000
! Electronic total energy in eV for the cell shown: -23.0
! Excess energy over the best structure of this formula in the dataset in kcal/mol of atoms: 15.390
! M_tot in μB per atom: 1.811

---

Entry 15:
! CrTcSbTe2, relaxed, DFT GGA-PBE; values from VASP
&SYSTEM
  ibrav = 0, nat = 5, ntyp = 4
/
ATOMIC_SPECIES
Te 127.60 Te.upf
Cr 52.00 Cr.upf
Tc 98.00 Tc.upf
Sb 121.76 Sb.upf
CELL_PARAMETERS angstrom
5.219 0.000 0.000
0.000 5.219 0.000
0.000 0.000 5.050
ATOMIC_POSITIONS crystal
Te 0.000 0.500 0.000
Te 0.500 0.000 0.000
Cr 0.000 0.000 0.000
Tc 0.500 0.500 0.500
Sb 0.000 0.000 0.500
! Electronic total energy in eV for the cell shown: -25.2
! Excess energy over the best structure of this formula in the dataset in kcal/mol of atoms: 5.367
! M_tot in μB per atom: 1.236

---

Number 1: formation energy without anion corrections 193 meV/atom. Number 2: formation energy without anion corrections 481 meV/atom. Number 3: formation energy without anion corrections 2269 meV/atom. Number 4: formation energy without anion corrections 185 meV/atom. Number 5: formation energy without anion corrections 1091 meV/atom. Number 6: formation energy without anion corrections 441 meV/atom. Number 7: formation energy without anion corrections 505 meV/atom. Number 8: formation energy without anion corrections 1309 meV/atom. Number 9: formation energy without anion corrections 345 meV/atom. Number 10: formation energy without anion corrections 323 meV/atom. Number 11: formation energy without anion corrections 1123 meV/atom. Number 12: formation energy without anion corrections 800 meV/atom. Number 13: formation energy without anion corrections 810 meV/atom. Number 14: formation energy without anion corrections 1477 meV/atom. Number 15: formation energy without anion corrections 1042 meV/atom.